No. 1
Compound: SmGd2Be
Source: the Alexandria database
Functional: PBE
Structure: relaxed

Cell lengths 3.5040, 3.5040, 8.6782 Å; angles 90.00, 90.00, 90.00 degrees
Atoms (fractional coordinates):
Sm (0.0000, 0.0000, 0.0000)
Gd (0.5000, 0.5000, 0.3095)
Gd (0.5000, 0.5000, 0.6905)
Be (0.0000, 0.0000, 0.5000)

## Properties
Density of states at the Fermi level ... 4.97 states/eV per cell
Energy of formation ... 0.080 eV per atom
Energy relative to the lowest polymorph listed for this composition ... 0.00 eV per formula unit

***

No. 2
Compound: Mg3IrF
Source: the Alexandria database
Functional: PBE
Structure: relaxed

Cell lengths 4.9648, 4.9648, 4.9648 Å; angles 90.00, 90.00, 90.00 degrees
Atoms (fractional coordinates):
Mg (0.0000, 0.0000, 0.5000)
Mg (0.0000, 0.5000, 0.0000)
Mg (0.5000, 0.0000, 0.0000)
Ir (0.0000, 0.0000, 0.0000)
F (0.5000, 0.5000, 0.5000)

## Properties
Density of states at the Fermi level ... 1.75 states/eV per cell
Formation energy from raw total energies ... -0.308 eV per atom
Energy relative to the lowest polymorph listed for this composition ... 3.29 eV per formula unit

***

> Which formula does entry 2 have?

Mg3IrF

***

What did the first record say?
Compound: SmGd2Be
Source: the Alexandria database
Functional: PBE
Structure: relaxed

Cell lengths 3.5040, 3.5040, 8.6782 Å; angles 90.00, 90.00, 90.00 degrees
Atoms (fractional coordinates):
Sm (0.0000, 0.0000, 0.0000)
Gd (0.5000, 0.5000, 0.3095)
Gd (0.5000, 0.5000, 0.6905)
Be (0.0000, 0.0000, 0.5000)

## Properties
Density of states at the Fermi level ... 4.97 states/eV per cell
Energy of formation ... 0.080 eV per atom
Energy relative to the lowest polymorph listed for this composition ... 0.00 eV per formula unit

***

> Which of these has the lowest density of states at the Fermi level?

Mg3IrF

***

> Number 1 is which compound?

SmGd2Be